No. 1
Here is a relaxed structure of NbGeH from the Alexandria database. Energies are from PBE.

Structure (CIF):
```
data_NbGeH
_chemical_formula_sum 'Nb4 Ge4 H4'
_cell_length_a 8.9964
_cell_length_b 2.9474
_cell_length_c 5.9771
_cell_angle_alpha 90.00
_cell_angle_beta 90.00
_cell_angle_gamma 90.00
_space_group_name_H-M_alt 'P n m a'
_space_group_IT_number 62
_space_group_name_Hall '-P 2ac 2n'
loop_
_atom_site_label
_atom_site_fract_x
_atom_site_fract_y
_atom_site_fract_z
Nb1 0.2260 0.2500 0.1601
Ge1 0.0261 0.2500 0.8033
H1 0.1851 0.2500 0.4824
```

D(E_F) = 1.03 states/eV/f.u.
ΔE to the lowest computed polymorph = 237 meV/atom
Energy = -73.4 eV/cell

---

No. 2
Here is a relaxed structure of NbGe3H from the Alexandria database. Energies are from PBE.

Structure (CIF):
```
data_NbGe3H
_chemical_formula_sum 'Nb1 Ge3 H1'
_cell_length_a 4.1915
_cell_length_b 4.1915
_cell_length_c 4.1915
_cell_angle_alpha 90.00
_cell_angle_beta 90.00
_cell_angle_gamma 90.00
_space_group_name_H-M_alt 'P m -3 m'
_space_group_IT_number 221
_space_group_name_Hall '-P 4 2 3'
loop_
_atom_site_label
_atom_site_fract_x
_atom_site_fract_y
_atom_site_fract_z
Nb1 0.0000 0.0000 0.0000
Ge1 0.0000 0.5000 0.5000
H1 0.5000 0.5000 0.5000
```

D(E_F) = 4.61 states/eV/f.u.
ΔE to the lowest computed polymorph = 0 meV/atom
Energy = -25.2 eV/cell

---

No. 3
Here is a relaxed structure of Nb4GeH2 from the Alexandria database. Energies are from PBE.

Structure (CIF):
```
data_Nb4GeH2
_chemical_formula_sum 'Nb32 Ge8 H16'
_cell_length_a 10.8336
_cell_length_b 12.2208
_cell_length_c 5.9710
_cell_angle_alpha 90.00
_cell_angle_beta 90.00
_cell_angle_gamma 90.00
_space_group_name_H-M_alt 'F d d 2'
_space_group_IT_number 43
_space_group_name_Hall 'F 2 -2d'
loop_
_atom_site_label
_atom_site_fract_x
_atom_site_fract_y
_atom_site_fract_z
Nb1 0.0824 0.3953 0.0000
Nb2 0.0985 0.3065 0.4562
Ge1 0.0000 0.0000 0.8698
H1 0.0868 0.1477 0.4514
```

D(E_F) = 2.84 states/eV/f.u.
Energy = -419.1 eV/cell

---

No. 4
Here is a relaxed structure of Nb2GeH2 from the Alexandria database. Energies are from PBE.

Structure (CIF):
```
data_Nb2GeH2
_chemical_formula_sum 'Nb4 Ge2 H4'
_cell_length_a 3.2555
_cell_length_b 3.2555
_cell_length_c 10.8180
_cell_angle_alpha 90.00
_cell_angle_beta 90.00
_cell_angle_gamma 90.00
_space_group_name_H-M_alt 'I 4/m m m'
_space_group_IT_number 139
_space_group_name_Hall '-I 4 2'
loop_
_atom_site_label
_atom_site_fract_x
_atom_site_fract_y
_atom_site_fract_z
Nb1 0.0000 0.0000 0.1363
Ge1 0.0000 0.0000 0.5000
H1 0.0000 0.5000 0.2500
```

D(E_F) = 3.61 states/eV/f.u.
ΔE to the lowest computed polymorph = 0 meV/atom
Energy = -65.3 eV/cell

---

No. 5
Here is a relaxed structure of Nb3GeH3 from the Alexandria database. Energies are from PBE.

Structure (CIF):
```
data_Nb3GeH3
_chemical_formula_sum 'Nb6 Ge2 H6'
_cell_length_a 5.4227
_cell_length_b 5.4227
_cell_length_c 5.4227
_cell_angle_alpha 90.00
_cell_angle_beta 90.00
_cell_angle_gamma 90.00
_space_group_name_H-M_alt 'P m -3 n'
_space_group_IT_number 223
_space_group_name_Hall '-P 4n 2 3'
loop_
_atom_site_label
_atom_site_fract_x
_atom_site_fract_y
_atom_site_fract_z
Nb1 0.0000 0.2500 0.5000
Ge1 0.0000 0.0000 0.0000
H1 0.0000 0.5000 0.2500
```

D(E_F) = 4.28 states/eV/f.u.
ΔE to the lowest computed polymorph = 0 meV/atom
Energy = -92.2 eV/cell

---

No. 6
Here is a relaxed structure of NbGe3H from the Alexandria database. Energies are from PBE.

Structure (CIF):
```
data_NbGe3H
_chemical_formula_sum 'Nb1 Ge3 H1'
_cell_length_a 5.0292
_cell_length_b 5.0292
_cell_length_c 5.0292
_cell_angle_alpha 90.00
_cell_angle_beta 90.00
_cell_angle_gamma 90.00
_space_group_name_H-M_alt 'P m -3 m'
_space_group_IT_number 221
_space_group_name_Hall '-P 4 2 3'
loop_
_atom_site_label
_atom_site_fract_x
_atom_site_fract_y
_atom_site_fract_z
Nb1 0.0000 0.0000 0.0000
Ge1 0.0000 0.0000 0.5000
H1 0.5000 0.5000 0.5000
```

D(E_F) = 2.13 states/eV/f.u.
ΔE to the lowest computed polymorph = 368 meV/atom
Energy = -23.4 eV/cell

---

No. 7
Here is a relaxed structure of Nb3GeH2 from the Alexandria database. Energies are from PBE.

Structure (CIF):
```
data_Nb3GeH2
_chemical_formula_sum 'Nb6 Ge2 H4'
_cell_length_a 5.1435
_cell_length_b 3.1886
_cell_length_c 9.4914
_cell_angle_alpha 90.00
_cell_angle_beta 91.68
_cell_angle_gamma 90.00
_space_group_name_H-M_alt 'P 1 21/m 1'
_space_group_IT_number 11
_space_group_name_Hall '-P 2yb'
loop_
_atom_site_label
_atom_site_fract_x
_atom_site_fract_y
_atom_site_fract_z
Nb1 0.0006 0.2500 0.1365
Nb2 0.2677 0.2500 0.5837
Nb3 0.4812 0.2500 0.8679
Ge1 0.2251 0.7500 0.3513
H1 0.3143 0.7500 0.7404
H2 0.3469 0.2500 0.0592
```

D(E_F) = 2.95 states/eV/f.u.
Energy = -85.3 eV/cell

---

No. 8
Here is a relaxed structure of NbGe2H from the Alexandria database. Energies are from PBE.

Structure (CIF):
```
data_NbGe2H
_chemical_formula_sum 'Nb4 Ge8 H4'
_cell_length_a 6.2911
_cell_length_b 6.2911
_cell_length_c 6.2911
_cell_angle_alpha 90.00
_cell_angle_beta 90.00
_cell_angle_gamma 90.00
_space_group_name_H-M_alt 'F m -3 m'
_space_group_IT_number 225
_space_group_name_Hall '-F 4 2 3'
loop_
_atom_site_label
_atom_site_fract_x
_atom_site_fract_y
_atom_site_fract_z
Nb1 0.0000 0.0000 0.0000
Ge1 0.2500 0.2500 0.2500
H1 0.0000 0.0000 0.5000
```

D(E_F) = 3.83 states/eV/f.u.
ΔE to the lowest computed polymorph = 587 meV/atom
Energy = -78.9 eV/cell

---

No. 9
Here is a relaxed structure of Nb4Ge2H from the Alexandria database. Energies are from PBE.

Structure (CIF):
```
data_Nb4Ge2H
_chemical_formula_sum 'Nb8 Ge4 H2'
_cell_length_a 3.9259
_cell_length_b 3.9259
_cell_length_c 14.1243
_cell_angle_alpha 90.00
_cell_angle_beta 90.00
_cell_angle_gamma 90.00
_space_group_name_H-M_alt 'I 4/m m m'
_space_group_IT_number 139
_space_group_name_Hall '-I 4 2'
loop_
_atom_site_label
_atom_site_fract_x
_atom_site_fract_y
_atom_site_fract_z
Nb1 0.0000 0.0000 0.1701
Nb2 0.0000 0.5000 0.0000
Ge1 0.0000 0.0000 0.3574
H1 0.0000 0.0000 0.0000
```

D(E_F) = 3.73 states/eV/f.u.
Energy = -110.0 eV/cell

---

No. 10
Here is a relaxed structure of NbGeH2 from the Alexandria database. Energies are from PBE.

Structure (CIF):
```
data_NbGeH2
_chemical_formula_sum 'Nb2 Ge2 H4'
_cell_length_a 5.5148
_cell_length_b 3.2253
_cell_length_c 5.1982
_cell_angle_alpha 90.00
_cell_angle_beta 110.91
_cell_angle_gamma 90.00
_space_group_name_H-M_alt 'C 1 m 1'
_space_group_IT_number 8
_space_group_name_Hall 'C -2y'
loop_
_atom_site_label
_atom_site_fract_x
_atom_site_fract_y
_atom_site_fract_z
Nb1 0.0000 0.0000 0.0000
Ge1 0.1922 0.0000 0.5742
H1 0.2000 0.5000 0.1043
H2 0.3901 0.0000 0.1680
```

D(E_F) = 1.61 states/eV/f.u.
ΔE to the lowest computed polymorph = 0 meV/atom
Energy = -43.5 eV/cell

---

No. 11
Here is a relaxed structure of Nb2GeH2 from the Alexandria database. Energies are from PBE.

Structure (CIF):
```
data_Nb2GeH2
_chemical_formula_sum 'Nb8 Ge4 H8'
_cell_length_a 5.5679
_cell_length_b 8.7284
_cell_length_c 5.5484
_cell_angle_alpha 90.00
_cell_angle_beta 120.02
_cell_angle_gamma 90.00
_space_group_name_H-M_alt 'C 1 2/c 1'
_space_group_IT_number 15
_space_group_name_Hall '-C 2yc'
loop_
_atom_site_label
_atom_site_fract_x
_atom_site_fract_y
_atom_site_fract_z
Nb1 0.0000 0.0619 0.2500
Nb2 0.0000 0.3145 0.7500
Ge1 0.0000 0.3743 0.2500
H1 0.1148 0.1264 0.9804
```

D(E_F) = 2.90 states/eV/f.u.
ΔE to the lowest computed polymorph = 106 meV/atom
Energy = -128.5 eV/cell

---

No. 12
Here is a relaxed structure of NbGeH from the Alexandria database. Energies are from PBE.

Structure (CIF):
```
data_NbGeH
_chemical_formula_sum 'Nb1 Ge1 H1'
_cell_length_a 3.4685
_cell_length_b 3.4685
_cell_length_c 3.6009
_cell_angle_alpha 90.00
_cell_angle_beta 90.00
_cell_angle_gamma 120.00
_space_group_name_H-M_alt 'P -6 m 2'
_space_group_IT_number 187
_space_group_name_Hall 'P -6 2'
loop_
_atom_site_label
_atom_site_fract_x
_atom_site_fract_y
_atom_site_fract_z
Nb1 0.0000 0.0000 0.0000
Ge1 0.6667 0.3333 0.5000
H1 0.3333 0.6667 0.0000
```

D(E_F) = 0.64 states/eV/f.u.
ΔE to the lowest computed polymorph = 0 meV/atom
Energy = -19.1 eV/cell

---

One value per record, in order, for calculated volume: 39.6 73.6 98.8 57.3 79.7 127.2 77.8 62.2 108.8 43.2 58.4 37.5 Å³/f.u..